[1]
Here is SmEuHg4 after structural relaxation from the Alexandria database. Energies are from GGA-PBE.

Properties
- total DFT energy (no corrections) (Ry per atom) = -0.219
- density of states at the Fermi level (states/eV/cell) = 4.15
- energy of formation (eV/atom) = -0.28
- theoretical density (Mg/m³) = 11.68
- space-group type = F-43m
- crystal system = cubic

abc: 6.0556 6.0556 6.0556
angles: 60.00 60.00 60.00
Closest atoms and distances in Å follow each position.
Element x y z (fractional)
Sm  0.0000  0.0000  0.0000  12 Hg 3.55, 4 Eu 3.71
Eu  0.2500  0.2500  0.2500  12 Hg 3.55, 4 Sm 3.71
Hg  0.1243  0.6252  0.6252  6 Hg 3.02-3.03
Hg  0.6252  0.1243  0.6252  6 Hg 3.02-3.03
Hg  0.6252  0.6252  0.1243  6 Hg 3.02-3.03
Hg  0.6252  0.6252  0.6252  6 Hg 3.02-3.03

***

[2]
Here is Ca2TaAg after structural relaxation from the Alexandria database. Energies are from GGA-PBE.

Properties
- total DFT energy (no corrections) (Ry per atom) = -0.305
- density of states at the Fermi level (states/eV/cell) = 3.77
- energy of formation (eV/atom) = 0.52
- theoretical density (Mg/m³) = 6.02
- space-group type = Pm
- crystal system = monoclinic
- ΔE to the lowest computed polymorph (eV per formula unit) = 0.72

abc: 3.2837 5.0322 6.3742
angles: 90.00 104.86 90.00
Closest atoms and distances in Å follow each position.
Element x y z (fractional)
Ca  0.0000  0.0000  0.0000  3 Ag 3.13-3.49, 4 Ta 3.27, 2 Ca 3.28
Ca  0.3266  0.5000  0.6540  3 Ta 3.19-3.43, 2 Ca 3.28, 4 Ag 3.30
Ta  0.6059  0.5000  0.2102  2 Ag 2.87, 2 Ca 3.19
Ag  0.7143  0.0000  0.4328  2 Ta 2.87, 2 Ca 3.13

***

[3]
Here is CoAsP2 after structural relaxation from the Alexandria database. Energies are from GGA-PBE.

Properties
- total DFT energy (no corrections) (Ry per atom) = -0.416
- density of states at the Fermi level (states/eV/cell) = 1.71
- energy of formation (eV/atom) = -0.01
- theoretical density (Mg/m³) = 5.48
- space-group type = P2/m
- crystal system = monoclinic

abc: 4.2009 3.3821 4.4485
angles: 90.00 110.06 90.00
Closest atoms and distances in Å follow each position.
Element x y z (fractional)
Co  0.0000  0.0000  0.0000  4 P 2.26, 2 As 2.48
As  0.5000  0.0000  0.5000  2 Co 2.48, 4 P 2.66
P  0.2471  0.5000  0.8218  1 P 2.17, 2 Co 2.26
P  0.7529  0.5000  0.1782  1 P 2.17, 2 Co 2.26

***

[4]
Here is PmPrY6 after structural relaxation from the Alexandria database. Energies are from GGA-PBE.

Properties
- total DFT energy (no corrections) (Ry per atom) = -0.433
- density of states at the Fermi level (states/eV/cell) = 14.72
- energy of formation (eV/atom) = 0.15
- theoretical density (Mg/m³) = 5.00
- space-group type = R-3
- crystal system = trigonal
- ΔE to the lowest computed polymorph (eV per formula unit) = 0.00

abc: 6.5214 6.5214 6.5214
angles: 96.24 96.24 96.24
Closest atoms and distances in Å follow each position.
Element x y z (fractional)
Pm  0.0000  0.0000  0.0000  12 Y 3.55-3.78
Pr  0.5000  0.5000  0.5000  12 Y 3.55-3.79
Y  0.0430  0.4572  0.7507  4 Y 3.36-3.40, 1 Pm 3.55, 1 Pr 3.55
Y  0.2493  0.9570  0.5428  4 Y 3.36-3.40, 1 Pm 3.55, 1 Pr 3.55
Y  0.4572  0.7507  0.0430  4 Y 3.36-3.40, 1 Pm 3.55, 1 Pr 3.55
Y  0.5428  0.2493  0.9570  4 Y 3.36-3.40, 1 Pm 3.55, 1 Pr 3.55
Y  0.7507  0.0430  0.4572  4 Y 3.36-3.40, 1 Pm 3.55, 1 Pr 3.55
Y  0.9570  0.5428  0.2493  4 Y 3.36-3.40, 1 Pm 3.55, 1 Pr 3.55

***

[5]
Here is RbTeRhN2 after structural relaxation from the Alexandria database. Energies are from GGA-PBE.

Properties
- total DFT energy (no corrections) (Ry per atom) = -0.219
- density of states at the Fermi level (states/eV/cell) = 8.47
- theoretical density (Mg/m³) = 3.31
- space-group type = P4/mmm
- crystal system = tetragonal
- ΔE to the lowest computed polymorph (eV per formula unit) = 7.06

abc: 4.8795 4.8795 7.2531
angles: 90.00 90.00 90.00
Closest atoms and distances in Å follow each position.
Element x y z (fractional)
Rb  0.0000  0.0000  0.0000  4 N 2.44
Te  0.0000  0.0000  0.5000  4 Rh 3.45, 2 Rb 3.63
Rh  0.5000  0.5000  0.5000  4 Te 3.45
N  0.0000  0.5000  0.0000  2 Rb 2.44
N  0.5000  0.0000  0.0000  2 Rb 2.44

***

[6]
Here is TaTl2 after structural relaxation from the Alexandria database. Energies are from GGA-PBE.

Properties
- total DFT energy (no corrections) (Ry per atom) = -0.349
- density of states at the Fermi level (states/eV/cell) = 2.18
- energy of formation (eV/atom) = 0.78
- theoretical density (Mg/m³) = 14.20
- space-group type = Immm
- crystal system = orthorhombic
- ΔE to the lowest computed polymorph (eV per formula unit) = 0.94

abc: 5.9231 5.9231 5.9231
angles: 148.99 139.65 51.75
Closest atoms and distances in Å follow each position.
Element x y z (fractional)
Ta  0.0000  0.0000  0.0000  8 Tl 3.07, 2 Ta 3.17
Tl  0.3454  0.3454  0.0000  4 Ta 3.07, 7 Tl 3.17-3.30
Tl  0.6546  0.6546  0.0000  4 Ta 3.07, 7 Tl 3.17-3.30

***

[7]
Here is BSbTe2N after structural relaxation from the Alexandria database. Energies are from GGA-PBE.

Properties
- total DFT energy (no corrections) (Ry per atom) = -0.268
- density of states at the Fermi level (states/eV/cell) = 2.75
- theoretical density (Mg/m³) = 6.31
- space-group type = P4/mmm
- crystal system = tetragonal
- ΔE to the lowest computed polymorph (eV per formula unit) = 5.88

abc: 4.6995 4.6995 4.7876
angles: 90.00 90.00 90.00
Closest atoms and distances in Å follow each position.
Element x y z (fractional)
B  0.0000  0.0000  0.0000  4 Sb 3.32, 8 Te 3.35
Sb  0.5000  0.5000  0.0000  2 N 2.39
Te  0.0000  0.5000  0.5000  2 N 2.35
Te  0.5000  0.0000  0.5000  2 N 2.35
N  0.5000  0.5000  0.5000  4 Te 2.35, 2 Sb 2.39

***

[8]
Here is ThCdGa after structural relaxation from the Alexandria database. Energies are from GGA-PBE.

Properties
- total DFT energy (no corrections) (Ry per atom) = -0.291
- density of states at the Fermi level (states/eV/cell) = 2.38
- energy of formation (eV/atom) = -0.17
- theoretical density (Mg/m³) = 9.41
- space-group type = I4mm
- crystal system = tetragonal

abc: 6.5474 6.5474 6.5474
angles: 149.27 149.27 44.02
Closest atoms and distances in Å follow each position.
Element x y z (fractional)
Th  0.0000  0.0000  0.0000  4 Ga 3.22, 4 Cd 3.40, 4 Th 3.47
Cd  0.3059  0.3059  0.0000  4 Ga 2.95
Ga  0.6714  0.6714  0.0000  4 Cd 2.95, 4 Th 3.22